Below is a relaxed BOs crystal, with properties calculated at the PBE level.

Unit cell a=3.3464 b=3.3464 c=3.3464 alpha=60.00 beta=60.00 gamma=60.00
Site moments in Bohr magnetons follow the coordinates.
Fractional coordinates of all 2 atoms:
1 B 0.0000 0.0000 0.0000  -0.03
2 Os 0.2500 0.2500 0.2500  0.98

energy	-8.215	eV per atom
crystal system	cubic

---

Below is a relaxed BOs crystal, with properties calculated at the PBE level.

Unit cell a=3.1209 b=3.1209 c=3.1209 alpha=60.00 beta=60.00 gamma=60.00
Fractional coordinates of all 2 atoms:
1 Os 0.5000 0.5000 0.5000
2 B 0.0000 0.0000 0.0000

energy	-8.464	eV per atom
crystal system	cubic

---

Below is a relaxed B2Os crystal, with properties calculated at the PBE level.

Unit cell a=2.8884 b=4.6926 c=4.0832 alpha=90.00 beta=90.00 gamma=90.00
Fractional coordinates of all 6 atoms:
1 Os 0.5000 0.0000 0.3452
2 Os 0.0000 0.5000 0.6548
3 B 0.5000 0.8053 0.8628
4 B 0.0000 0.3053 0.1372
5 B 0.0000 0.6947 0.1372
6 B 0.5000 0.1947 0.8628

energy	-8.407	eV per atom
crystal system	orthorhombic

---

Below is a relaxed BOs5 crystal, with properties calculated at the PBE level.

Unit cell a=4.8943 b=4.8943 c=4.6763 alpha=90.00 beta=90.00 gamma=120.00
Fractional coordinates of all 6 atoms:
1 Os 0.3333 0.6667 0.0000
2 Os 0.5000 0.5000 0.5000
3 Os 0.6667 0.3333 0.0000
4 Os 0.5000 0.0000 0.5000
5 Os 0.0000 0.5000 0.5000
6 B 0.0000 0.0000 0.0000

energy	-8.940	eV per atom
crystal system	hexagonal

---

Which of these has the highest energy? number 1